# 1
{"formula": "TlFe4F8", "functional": "PBE with a Hubbard U", "state": "optimized geometry", "e_tot_ev_per_atom": -5.23, "n_ef_per_ev_fu": 1.936, "space_group": "C2/m, No. 12", "cell": [[7.649, -1.656, 0.000], [7.649, 1.656, 0.000], [-7.338, 0.000, 7.758]], "species": ["Tl", "Fe", "Fe", "Fe", "Fe", "F", "F", "F", "F", "F", "F", "F", "F"], "fractional_positions": [[0.000, 0.000, 0.000], [0.149, 0.149, 0.483], [0.340, 0.340, 0.185], [0.660, 0.660, 0.815], [0.851, 0.851, 0.517], [0.036, 0.036, 0.702], [0.288, 0.288, 0.946], [0.333, 0.333, 0.630], [0.347, 0.347, 0.384], [0.653, 0.653, 0.616], [0.667, 0.667, 0.370], [0.712, 0.712, 0.054], [0.964, 0.964, 0.298]]}

***

# 2
{"formula": "Tl3Fe6F20", "functional": "PBE with a Hubbard U", "state": "optimized geometry", "e_tot_ev_per_atom": -4.75, "n_ef_per_ev_fu": 14.892, "space_group": "Fm-3m, No. 225", "cell": [[0.000, 5.557, 5.557], [5.557, 0.000, 5.557], [5.557, 5.557, 0.000]], "species": ["Tl", "Tl", "Tl", "Fe", "Fe", "Fe", "Fe", "Fe", "Fe", "F", "F", "F", "F", "F", "F", "F", "F", "F", "F", "F", "F", "F", "F", "F", "F", "F", "F", "F", "F"], "fractional_positions": [[0.000, 0.000, 0.000], [0.250, 0.250, 0.250], [0.750, 0.750, 0.750], [0.274, 0.274, 0.726], [0.274, 0.726, 0.274], [0.274, 0.726, 0.726], [0.726, 0.274, 0.274], [0.726, 0.274, 0.726], [0.726, 0.726, 0.274], [0.000, 0.000, 0.320], [0.000, 0.000, 0.680], [0.000, 0.320, 0.000], [0.000, 0.320, 0.680], [0.000, 0.680, 0.000], [0.000, 0.680, 0.320], [0.168, 0.611, 0.611], [0.320, 0.000, 0.000], [0.320, 0.000, 0.680], [0.320, 0.680, 0.000], [0.389, 0.389, 0.389], [0.389, 0.389, 0.832], [0.389, 0.832, 0.389], [0.611, 0.168, 0.611], [0.611, 0.611, 0.168], [0.611, 0.611, 0.611], [0.680, 0.000, 0.000], [0.680, 0.000, 0.320], [0.680, 0.320, 0.000], [0.832, 0.389, 0.389]]}

***

# 3
{"formula": "Tl2FeF5", "functional": "PBE with a Hubbard U", "state": "optimized geometry", "n_ef_per_ev_fu": 0.000, "relative_energy_ev_per_fu": 0.342, "space_group": "I4mm, No. 107", "cell": [[-3.215, 3.215, 4.207], [3.215, -3.215, 4.207], [3.215, 3.215, -4.207]], "species": ["Tl", "Tl", "Fe", "F", "F", "F", "F", "F"], "fractional_positions": [[0.000, 0.500, 0.500], [0.500, 0.000, 0.500], [0.231, 0.231, 0.000], [0.381, 0.381, 0.411], [0.381, 0.970, 0.000], [0.451, 0.451, 0.000], [0.970, 0.381, 0.000], [0.970, 0.970, 0.589]]}

***

# 4
{"formula": "TlFeF5", "functional": "PBE with a Hubbard U", "state": "optimized geometry", "e_tot_ev_per_atom": -4.61, "n_ef_per_ev_fu": 1.497, "space_group": "C2/c, No. 15", "cell": [[4.684, -3.454, 0.000], [4.684, 3.454, 0.000], [-3.338, 0.000, 7.159]], "species": ["Tl", "Tl", "Fe", "Fe", "F", "F", "F", "F", "F", "F", "F", "F", "F", "F"], "fractional_positions": [[0.016, 0.984, 0.750], [0.984, 0.016, 0.250], [0.500, 0.500, 0.000], [0.500, 0.500, 0.500], [0.209, 0.785, 0.010], [0.215, 0.791, 0.490], [0.270, 0.280, 0.387], [0.280, 0.270, 0.887], [0.478, 0.522, 0.750], [0.522, 0.478, 0.250], [0.720, 0.730, 0.113], [0.730, 0.720, 0.613], [0.785, 0.209, 0.510], [0.791, 0.215, 0.990]]}

***

# 5
{"formula": "TlFe3F", "functional": "PBE with a Hubbard U", "state": "optimized geometry", "n_ef_per_ev_fu": 4.209, "relative_energy_ev_per_fu": 0.000, "space_group": "Pm-3m, No. 221", "cell": [[4.379, 0.000, 0.000], [0.000, 4.379, 0.000], [0.000, 0.000, 4.379]], "species": ["Tl", "Fe", "Fe", "Fe", "F"], "fractional_positions": [[0.000, 0.000, 0.000], [0.000, 0.500, 0.500], [0.500, 0.000, 0.500], [0.500, 0.500, 0.000], [0.500, 0.500, 0.500]]}

***

# 6
{"formula": "TmTlFeF6", "functional": "PBE with a Hubbard U", "state": "optimized geometry", "e_tot_ev_per_atom": -5.69, "n_ef_per_ev_fu": 0.000, "space_group": "P1, No. 1", "cell": [[5.762, 0.000, 0.000], [2.866, 5.038, 0.000], [0.022, -0.010, 5.912]], "species": ["Tm", "Tl", "Fe", "F", "F", "F", "F", "F", "F"], "fractional_positions": [[0.000, 0.000, 0.000], [0.338, 0.324, 0.500], [0.669, 0.660, 0.000], [0.337, 0.947, 0.803], [0.346, 0.708, 0.186], [0.714, 0.950, 0.196], [0.718, 0.330, 0.802], [0.948, 0.705, 0.814], [0.953, 0.332, 0.197]]}

***

# 7
{"formula": "TlVFeF6", "functional": "PBE with a Hubbard U", "state": "optimized geometry", "e_tot_ev_per_atom": -5.49, "n_ef_per_ev_fu": 0.000, "space_group": "P1, No. 1", "cell": [[5.490, 0.000, 0.000], [2.739, 4.840, 0.000], [0.071, -0.017, 5.981]], "species": ["Tl", "V", "Fe", "F", "F", "F", "F", "F", "F"], "fractional_positions": [[0.000, 0.000, 0.000], [0.335, 0.332, 0.500], [0.665, 0.673, 0.500], [0.012, 0.621, 0.322], [0.020, 0.378, 0.688], [0.372, 0.023, 0.314], [0.377, 0.615, 0.681], [0.606, 0.380, 0.312], [0.617, 0.021, 0.681]]}

***

# 8
{"formula": "Tl2VFeF6", "functional": "PBE with a Hubbard U", "state": "optimized geometry", "e_tot_ev_per_atom": -5.18, "space_group": "Immm, No. 71", "cell": [[-2.982, 3.023, 4.290], [2.982, -3.023, 4.290], [2.982, 3.023, -4.290]], "species": ["Tl", "Tl", "V", "Fe", "F", "F", "F", "F", "F", "F"], "fractional_positions": [[0.248, 0.248, 0.000], [0.752, 0.752, 0.000], [0.500, 0.000, 0.500], [0.000, 0.500, 0.500], [0.250, 0.256, 0.506], [0.250, 0.744, 0.994], [0.251, 0.751, 0.500], [0.749, 0.249, 0.500], [0.750, 0.256, 0.006], [0.750, 0.744, 0.494]]}

***

# 9
{"formula": "Tl3VFe2F9", "functional": "PBE with a Hubbard U", "state": "optimized geometry", "e_tot_ev_per_atom": -5.09, "n_ef_per_ev_fu": 0.000, "space_group": "P-3m1, No. 164", "cell": [[6.068, 0.000, 0.000], [-3.034, 5.255, 0.000], [0.000, 0.000, 7.255]], "species": ["Tl", "Tl", "Tl", "V", "Fe", "Fe", "F", "F", "F", "F", "F", "F", "F", "F", "F"], "fractional_positions": [[0.000, 0.000, 0.000], [0.333, 0.667, 0.667], [0.667, 0.333, 0.333], [0.000, 0.000, 0.500], [0.333, 0.667, 0.165], [0.667, 0.333, 0.835], [0.000, 0.500, 0.000], [0.167, 0.334, 0.329], [0.167, 0.833, 0.329], [0.334, 0.167, 0.671], [0.500, 0.000, 0.000], [0.500, 0.500, 0.000], [0.666, 0.833, 0.329], [0.833, 0.167, 0.671], [0.833, 0.666, 0.671]]}

***

# 10
{"formula": "Tl2FeWF", "functional": "PBE with a Hubbard U", "state": "optimized geometry", "e_tot_ev_per_atom": -3.29, "n_ef_per_ev_fu": 2.883, "space_group": "P4/mmm, No. 123", "cell": [[5.704, 0.000, 0.000], [0.000, 5.704, 0.000], [0.000, 0.000, 3.719]], "species": ["Tl", "Tl", "Fe", "W", "F"], "fractional_positions": [[0.000, 0.500, 0.000], [0.500, 0.000, 0.000], [0.000, 0.000, 0.000], [0.500, 0.500, 0.500], [0.000, 0.000, 0.500]]}

***

# 11
{"formula": "Tl2ZnFeF6", "functional": "PBE with a Hubbard U", "state": "optimized geometry", "e_tot_ev_per_atom": -4.45, "n_ef_per_ev_fu": 0.000, "space_group": "Immm, No. 71", "cell": [[-2.955, 3.000, 4.249], [2.955, -3.000, 4.249], [2.955, 3.000, -4.249]], "species": ["Tl", "Tl", "Zn", "Fe", "F", "F", "F", "F", "F", "F"], "fractional_positions": [[0.248, 0.248, 0.000], [0.752, 0.752, 0.000], [0.500, 0.000, 0.500], [0.000, 0.500, 0.500], [0.253, 0.253, 0.506], [0.253, 0.747, 0.000], [0.256, 0.756, 0.500], [0.744, 0.244, 0.500], [0.747, 0.253, 0.000], [0.747, 0.747, 0.494]]}

***

# 12
{"formula": "TmFe2F8", "functional": "PBE with a Hubbard U", "state": "optimized geometry", "e_tot_ev_per_atom": -5.76, "n_ef_per_ev_fu": 3.313, "space_group": "C2/m, No. 12", "cell": [[4.359, -3.301, 0.000], [4.359, 3.301, 0.000], [-1.248, 0.000, 5.056]], "species": ["Tm", "Fe", "Fe", "F", "F", "F", "F", "F", "F", "F", "F"], "fractional_positions": [[0.000, 0.000, 0.000], [0.330, 0.330, 0.562], [0.670, 0.670, 0.438], [0.055, 0.658, 0.703], [0.171, 0.171, 0.776], [0.342, 0.945, 0.297], [0.433, 0.433, 0.259], [0.567, 0.567, 0.741], [0.658, 0.055, 0.703], [0.829, 0.829, 0.224], [0.945, 0.342, 0.297]]}

***

Density for every record listed, in sequence, given in g/cm³: 4.90; 6.43; 5.34; 5.09; 7.73; 5.26; 4.44; 6.76; 6.80; 9.16; 7.10; 4.94.